First-principles (PBE) data for an optimized crystal structure of Li4Ac2Ga3, as listed in Alexandria via LeMat-Bulk.

Structure (POSCAR):
```
Li4Ac2Ga3
1.0
2.873 -8.287 0.000
2.873 8.287 0.000
0.000 0.000 8.580
Li Ac Ga
8 4 6
Cartesian
1.437 1.195 6.435
2.873 5.121 8.538
2.873 3.167 4.248
1.437 -1.195 2.145
4.310 1.195 6.435
2.873 -3.167 4.332
2.873 -5.121 0.042
4.310 -1.195 2.145
2.873 6.508 5.132
2.873 1.779 0.842
2.873 -1.779 7.738
2.873 -6.508 3.448
0.000 0.000 0.000
1.437 3.829 6.435
1.437 -3.829 2.145
2.873 0.000 4.290
4.310 3.829 6.435
4.310 -3.829 2.145
```

The value obtained for the final energy is -3.01 eV/atom. As for the total magnetic moment: 0.000 μB/f.u. The calculation puts the formation energy at -0.2396 eV/atom. Its symmetry is No. 64.